Record 1
Tb2TaGe3Rh4 (PBE, relaxed); symmetry = P-4m2
1.0
4.127 0.000 0.000
0.000 4.127 0.000
0.000 0.000 10.741
Tb Ta Ge Rh
2 1 3 4
direct
0.000 0.500 0.237
0.500 0.000 0.763
0.000 0.000 0.500
0.000 0.500 0.871
0.500 0.000 0.129
0.500 0.500 0.500
0.000 0.000 0.000
0.000 0.500 0.642
0.500 0.000 0.358
0.500 0.500 0.000

---

Record 2
ThTaGe2Rh5 (PBE, relaxed); symmetry = P4/mmm
1.0
4.026 0.000 0.000
0.000 4.026 0.000
0.000 0.000 10.982
Th Ta Ge Rh
1 1 2 5
direct
0.000 0.000 0.000
0.500 0.500 0.500
0.500 0.500 0.219
0.500 0.500 0.781
0.000 0.500 0.349
0.000 0.500 0.651
0.500 0.000 0.349
0.500 0.000 0.651
0.500 0.500 0.000

---

Record 3
Th2TaGe4Rh3 (PBE, relaxed); symmetry = P-4m2
1.0
4.222 0.000 0.000
0.000 4.222 0.000
0.000 0.000 10.724
Th Ta Ge Rh
2 1 4 3
direct
0.000 0.500 0.236
0.500 0.000 0.764
0.000 0.000 0.500
0.000 0.000 0.000
0.000 0.500 0.645
0.500 0.000 0.355
0.500 0.500 0.000
0.000 0.500 0.876
0.500 0.000 0.124
0.500 0.500 0.500

---

no.,ΔE_f (eV per atom)
1,-0.813
2,-0.283
3,-0.752